{"formula": "LaCuAs2", "functional": "GGA-PBE", "state": "optimized geometry", "cell": [[3.928, 0.000, 0.000], [0.000, 4.583, 0.000], [0.000, 0.000, 9.510]], "species": ["La", "La", "Cu", "Cu", "As", "As", "As", "As"], "frac_coords": [[0.000, 0.000, 0.000], [0.500, 0.500, 0.500], [0.000, 0.500, 0.214], [0.500, 0.000, 0.714], [0.000, 0.000, 0.528], [0.000, 0.500, 0.771], [0.500, 0.000, 0.271], [0.500, 0.500, 0.028]], "spacegroup": "Imm2", "ef_ev_per_atom": -0.457, "e_tot_ev_per_atom": -5.04}

=====

{"formula": "CrN2", "functional": "GGA-PBE", "state": "optimized geometry", "cell": [[4.653, 0.000, 0.000], [0.000, 4.653, 0.000], [0.000, 0.000, 2.653]], "species": ["Cr", "Cr", "N", "N", "N", "N"], "frac_coords": [[0.000, 0.000, 0.000], [0.500, 0.500, 0.500], [0.201, 0.201, 0.500], [0.299, 0.701, 0.000], [0.701, 0.299, 0.000], [0.799, 0.799, 0.500]], "spacegroup": "P4_2/mnm", "formation_energy_uncorrected_mev_per_atom": 278, "e_tot_ev_per_atom": -8.48}

=====

{"formula": "SrCaBN2", "functional": "GGA-PBE", "state": "optimized geometry", "cell": [[5.179, 0.000, 0.000], [0.000, 5.377, 0.000], [0.000, 0.000, 6.922]], "species": ["Sr", "Sr", "Ca", "Ca", "B", "B", "N", "N", "N", "N"], "frac_coords": [[0.000, 0.000, 0.250], [0.000, 0.000, 0.750], [0.500, 0.500, 0.250], [0.500, 0.500, 0.750], [0.000, 0.500, 0.000], [0.000, 0.500, 0.500], [0.196, 0.334, 0.000], [0.196, 0.666, 0.500], [0.804, 0.334, 0.500], [0.804, 0.666, 0.000]], "spacegroup": "Pccm", "formation_energy_uncorrected_mev_per_atom": -872, "e_tot_ev_per_atom": -6.27}

=====

{"formula": "YTcHg3", "functional": "GGA-PBE", "state": "optimized geometry", "cell": [[5.693, 0.000, 0.000], [0.000, 5.693, 0.000], [0.000, 0.000, 5.693]], "species": ["Y", "Tc", "Hg", "Hg", "Hg"], "frac_coords": [[0.000, 0.000, 0.000], [0.500, 0.500, 0.500], [0.000, 0.000, 0.500], [0.000, 0.500, 0.000], [0.500, 0.000, 0.000]], "spacegroup": "Pm-3m", "ef_ev_per_atom": 1.292, "e_tot_ev_per_atom": -2.26}

=====

{"formula": "AlV2Mo8", "functional": "GGA-PBE", "state": "optimized geometry", "cell": [[6.483, -2.200, 0.000], [6.483, 2.200, 0.000], [-3.428, 0.000, 5.893]], "species": ["Al", "V", "V", "Mo", "Mo", "Mo", "Mo", "Mo", "Mo", "Mo", "Mo"], "frac_coords": [[0.000, 0.000, 0.000], [0.269, 0.269, 0.362], [0.731, 0.731, 0.638], [0.092, 0.092, 0.463], [0.184, 0.184, 0.909], [0.359, 0.359, 0.807], [0.458, 0.458, 0.267], [0.542, 0.542, 0.733], [0.641, 0.641, 0.193], [0.816, 0.816, 0.091], [0.908, 0.908, 0.537]], "spacegroup": "C2/m", "ef_ev_per_atom": -0.105, "e_tot_ev_per_atom": -9.98}

=====

{"formula": "KTa2Ag", "functional": "GGA-PBE", "state": "optimized geometry", "cell": [[6.989, 0.000, 0.000], [0.000, 6.989, 0.000], [0.000, 0.000, 6.989]], "species": ["K", "K", "K", "K", "Ta", "Ta", "Ta", "Ta", "Ta", "Ta", "Ta", "Ta", "Ag", "Ag", "Ag", "Ag"], "frac_coords": [[0.000, 0.000, 0.000], [0.000, 0.500, 0.500], [0.500, 0.000, 0.500], [0.500, 0.500, 0.000], [0.000, 0.000, 0.500], [0.000, 0.500, 0.000], [0.250, 0.250, 0.750], [0.250, 0.750, 0.250], [0.500, 0.000, 0.000], [0.500, 0.500, 0.500], [0.750, 0.250, 0.250], [0.750, 0.750, 0.750], [0.250, 0.250, 0.250], [0.250, 0.750, 0.750], [0.750, 0.250, 0.750], [0.750, 0.750, 0.250]], "spacegroup": "F-43m", "ef_ev_per_atom": 1.373, "e_tot_ev_per_atom": -5.54}

=====

{"formula": "In2ReW", "functional": "GGA-PBE", "state": "optimized geometry", "cell": [[4.034, 0.000, 0.000], [0.000, 4.034, 0.000], [0.000, 0.000, 8.917]], "species": ["In", "In", "In", "In", "Re", "Re", "W", "W"], "frac_coords": [[0.000, 0.500, 0.250], [0.000, 0.500, 0.750], [0.500, 0.000, 0.250], [0.500, 0.000, 0.750], [0.000, 0.000, 0.000], [0.500, 0.500, 0.500], [0.000, 0.000, 0.500], [0.500, 0.500, 0.000]], "spacegroup": "I4/mmm", "ef_ev_per_atom": 0.807, "e_tot_ev_per_atom": -6.91}

=====

{"formula": "Fe3RuC", "functional": "GGA-PBE", "state": "optimized geometry", "cell": [[3.787, 0.000, 0.000], [0.000, 3.787, 0.000], [0.000, 0.000, 3.787]], "species": ["Fe", "Fe", "Fe", "Ru", "C"], "frac_coords": [[0.000, 0.000, 0.500], [0.000, 0.500, 0.000], [0.500, 0.000, 0.000], [0.500, 0.500, 0.500], [0.000, 0.000, 0.000]], "spacegroup": "Pm-3m", "ef_ev_per_atom": 0.253, "e_tot_ev_per_atom": -8.52}

=====

{"formula": "Pa2TiAl", "functional": "GGA-PBE", "state": "optimized geometry", "cell": [[3.778, 0.000, 0.000], [0.000, 3.778, 0.000], [0.000, 0.000, 6.276]], "species": ["Pa", "Pa", "Ti", "Al"], "frac_coords": [[0.000, 0.000, 0.229], [0.000, 0.000, 0.771], [0.500, 0.500, 0.500], [0.500, 0.500, 0.000]], "spacegroup": "P4/mmm", "ef_ev_per_atom": 0.118, "e_tot_ev_per_atom": -7.54}

=====

{"formula": "CdCOF2", "functional": "GGA-PBE", "state": "optimized geometry", "cell": [[4.405, 0.000, 0.000], [0.000, 4.405, 0.000], [0.000, 0.000, 3.022]], "species": ["Cd", "C", "O", "F", "F"], "frac_coords": [[0.000, 0.000, 0.000], [0.500, 0.500, 0.500], [0.500, 0.500, 0.000], [0.000, 0.500, 0.500], [0.500, 0.000, 0.500]], "spacegroup": "P4/mmm", "formation_energy_uncorrected_mev_per_atom": -109, "e_tot_ev_per_atom": -3.88}

=====

{"formula": "CaReAu", "functional": "GGA-PBE", "state": "optimized geometry", "cell": [[6.655, 0.000, 0.000], [0.000, 6.655, 0.000], [0.000, 0.000, 6.655]], "species": ["Ca", "Ca", "Ca", "Ca", "Re", "Re", "Re", "Re", "Au", "Au", "Au", "Au"], "frac_coords": [[0.000, 0.000, 0.000], [0.000, 0.500, 0.500], [0.500, 0.000, 0.500], [0.500, 0.500, 0.000], [0.250, 0.250, 0.250], [0.250, 0.750, 0.750], [0.750, 0.250, 0.750], [0.750, 0.750, 0.250], [0.250, 0.250, 0.750], [0.250, 0.750, 0.250], [0.750, 0.250, 0.250], [0.750, 0.750, 0.750]], "spacegroup": "F-43m", "ef_ev_per_atom": 1.458, "e_tot_ev_per_atom": -4.45}

=====

{"formula": "Sr3LiCd8", "functional": "GGA-PBE", "state": "optimized geometry", "cell": [[3.043, 1.757, 10.142], [-3.043, 1.757, 10.142], [0.000, -3.514, 10.142]], "species": ["Sr", "Sr", "Sr", "Li", "Cd", "Cd", "Cd", "Cd", "Cd", "Cd", "Cd", "Cd"], "frac_coords": [[0.000, 0.000, 0.000], [0.127, 0.127, 0.127], [0.618, 0.618, 0.618], [0.497, 0.497, 0.497], [0.060, 0.060, 0.560], [0.060, 0.560, 0.060], [0.064, 0.561, 0.561], [0.310, 0.310, 0.310], [0.560, 0.060, 0.060], [0.561, 0.064, 0.561], [0.561, 0.561, 0.064], [0.812, 0.812, 0.812]], "spacegroup": "R3m", "ef_ev_per_atom": -0.261, "e_tot_ev_per_atom": -1.45}

=====

{"formula": "Tb2ZnSe", "functional": "GGA-PBE", "state": "optimized geometry", "cell": [[3.982, 0.000, 0.000], [-1.991, 3.448, 0.000], [0.000, 0.000, 21.818]], "species": ["Tb", "Tb", "Tb", "Tb", "Tb", "Tb", "Zn", "Zn", "Zn", "Se", "Se", "Se"], "frac_coords": [[0.000, 0.000, 0.247], [0.000, 0.000, 0.753], [0.333, 0.667, 0.420], [0.333, 0.667, 0.914], [0.667, 0.333, 0.086], [0.667, 0.333, 0.580], [0.000, 0.000, 0.000], [0.333, 0.667, 0.667], [0.667, 0.333, 0.333], [0.000, 0.000, 0.500], [0.333, 0.667, 0.167], [0.667, 0.333, 0.833]], "spacegroup": "R-3m", "formation_energy_uncorrected_mev_per_atom": -1016, "e_tot_ev_per_atom": -4.52}